A plane-wave DFT calculation with PBE-GGA was carried out for NaIn4Pb8 after structural relaxation.

a = 11.079 Å, b = 4.826 Å, c = 14.561 Å
α = 90.00°, β = 93.80°, γ = 90.00°
Space group C2/m (No. 12)
Asymmetric unit:
1 Na 0.000 0.000 0.000 [2 per cell]
2 In 0.110 0.500 0.151 [4 per cell]
3 In 0.159 0.000 0.538 [4 per cell]
4 Pb 0.029 0.500 0.387 [4 per cell]
5 Pb 0.084 0.000 0.770 [4 per cell]
6 Pb 0.196 0.500 0.926 [4 per cell]
7 Pb 0.220 0.000 0.304 [4 per cell]

Properties
* D(E_F): 11.4 states/eV per cell
* energy relative to the elements: -0.0189 eV per atom
* size of the total moment: 0.000 μB per formula unit
* calculated total energy: -0.239 Ry/atom



A plane-wave DFT calculation with PBE-GGA was carried out for Rb3NpBi3S8 after structural relaxation.

a = 8.2580 Å, b = 8.2580 Å, c = 23.6308 Å
α = 90.00°, β = 90.00°, γ = 120.00°
Space group R-3m (No. 166, hexagonal axes)
Asymmetric unit:
1 Rb 0.0000 0.5000 0.0000 [9 per cell]
2 Np 0.0000 0.0000 0.5000 [3 per cell]
3 Bi 0.0000 0.5000 0.5000 [9 per cell]
4 S 0.0000 0.0000 0.2334 [6 per cell]
5 S 0.0155 0.5078 0.2297 [18 per cell]

Properties
* D(E_F): 13.0 states/eV per cell
* size of the total moment: 3.000 μB per formula unit
* calculated total energy: -0.362 Ry/atom



A plane-wave DFT calculation with PBE-GGA was carried out for Cs4K7Rb after structural relaxation.

a = 16.359 Å, b = 8.333 Å, c = 17.664 Å
α = 90.00°, β = 115.00°, γ = 90.00°
Space group C2/m (No. 12)
Asymmetric unit:
1 Cs 0.042 0.000 0.359 [4 per cell]
2 Cs 0.161 0.500 0.784 [4 per cell]
3 K 0.000 0.000 0.000 [2 per cell]
4 K 0.143 0.500 0.516 [4 per cell]
5 K 0.208 0.500 0.299 [4 per cell]
6 K 0.209 0.000 0.922 [4 per cell]
7 Rb 0.000 0.500 0.000 [2 per cell]

Properties
* D(E_F): 20.5 states/eV per cell
* energy relative to the elements: 0.0433 eV per atom
* size of the total moment: 0.000 μB per formula unit
* calculated total energy: -0.071 Ry/atom



A plane-wave DFT calculation with PBE-GGA was carried out for CoCuS3 after structural relaxation.

a = 6.2685 Å, b = 6.2685 Å, c = 8.4390 Å
α = 90.00°, β = 90.00°, γ = 120.00°
Space group R3m (No. 160, hexagonal axes)
Asymmetric unit:
1 Co 0.0000 0.0000 0.0000 [3 per cell]
2 Cu 0.0000 0.0000 0.3930 [3 per cell]
3 S 0.1753 0.3507 0.8878 [9 per cell]

Properties
* D(E_F): 16.0 states/eV per cell
* size of the total moment: 0.703 μB per formula unit
* calculated total energy: -0.325 Ry/atom



A plane-wave DFT calculation with PBE-GGA was carried out for VCr2CuAu after structural relaxation.

a = 4.992 Å, b = 4.992 Å, c = 4.847 Å
α = 90.00°, β = 90.00°, γ = 90.00°
Space group P4/mmm (No. 123)
Asymmetric unit:
1 V 0.000 0.000 0.000 [1 per cell]
2 Cr 0.000 0.500 0.500 [2 per cell]
3 Cu 0.500 0.500 0.000 [1 per cell]
4 Au 0.000 0.000 0.500 [1 per cell]

Properties
* D(E_F): 8.4 states/eV per cell
* energy relative to the elements: 1.5618 eV per atom
* size of the total moment: 11.298 μB per formula unit
* calculated total energy: -0.411 Ry/atom



A plane-wave DFT calculation with PBE-GGA was carried out for NbVCrGe after structural relaxation.

a = 6.131 Å, b = 6.131 Å, c = 6.131 Å
α = 90.00°, β = 90.00°, γ = 90.00°
Space group F-43m (No. 216)
Asymmetric unit:
1 Nb 0.000 0.000 0.000 [4 per cell]
2 V 0.250 0.250 0.250 [4 per cell]
3 Cr 0.250 0.250 0.750 [4 per cell]
4 Ge 0.000 0.000 0.500 [4 per cell]

Properties
* D(E_F): 14.6 states/eV per cell
* energy relative to the elements: -0.0756 eV per atom
* size of the total moment: 2.045 μB per formula unit
* calculated total energy: -0.620 Ry/atom



A plane-wave DFT calculation with PBE-GGA was carried out for LiHoSc2 after structural relaxation.

a = 3.419 Å, b = 3.419 Å, c = 8.343 Å
α = 90.00°, β = 90.00°, γ = 90.00°
Space group P4/mmm (No. 123)
Asymmetric unit:
1 Li 0.000 0.000 0.000 [1 per cell]
2 Ho 0.000 0.000 0.500 [1 per cell]
3 Sc 0.500 0.500 0.217 [2 per cell]

Properties
* D(E_F): 5.5 states/eV per cell
* energy relative to the elements: 0.1161 eV per atom
* size of the total moment: 0.000 μB per formula unit
* calculated total energy: -0.343 Ry/atom



A plane-wave DFT calculation with PBE-GGA was carried out for Sc2TaCu after structural relaxation.

a = 6.738 Å, b = 6.738 Å, c = 6.738 Å
α = 90.00°, β = 90.00°, γ = 90.00°
Space group Fm-3m (No. 225)
Asymmetric unit:
1 Sc 0.250 0.250 0.250 [8 per cell]
2 Ta 0.000 0.000 0.000 [4 per cell]
3 Cu 0.000 0.000 0.500 [4 per cell]

Properties
* D(E_F): 9.4 states/eV per cell
* energy relative to the elements: 0.2566 eV per atom
* size of the total moment: 2.215 μB per formula unit
* calculated total energy: -0.507 Ry/atom



> Among the records above, which one has the highest D(E_F)?

Cs4K7Rb